Entry 1:
VASP calculation (PBE-GGA) on a geometry-optimized Y4MgZn structure.

Calculated total energy, eV per cell: -29.5
Energy relative to the lowest polymorph listed for this composition, eV per atom: 0.000

abc: 3.612 3.612 12.810
angles: 90.00 90.00 90.00
Fractional positions:
Y: 0.500 0.500 0.862
Mg: 0.500 0.500 0.500
Zn: 0.000 0.000 0.000
Y: 0.000 0.000 0.334
Y: 0.500 0.500 0.138
Y: 0.000 0.000 0.666

---

Entry 2:
VASP calculation (PBE-GGA) on a geometry-optimized YMgZn structure.

Calculated total energy, eV per cell: -9.8
Energy relative to the lowest polymorph listed for this composition, eV per atom: 0.126

abc: 6.479 6.474 6.474
angles: 149.74 149.75 43.30
Fractional positions:
Y: 0.681 0.682 0.000
Zn: 0.341 0.341 0.000
Mg: 0.978 0.978 0.000

---

| no. | D(E_F) (states/eV/atom) | energy of formation (kJ/mol of atoms) |
| --- | --- | --- |
| 1 | 1.409 | -13.2 |
| 2 | 0.869 | -16.5 |